No. 1
A geometry-optimized Zr2FeHgBr structure, computed with PBE.

Summary:
**DFT total energy**: -4.4746 eV/atom
**Raw formation energy**: 1.03 eV/atom

Geometry as CIF:
```
data_Zr2FeHgBr
_chemical_formula_sum 'Zr2 Fe1 Hg1 Br1'
_cell_length_a 4.937
_cell_length_b 4.937
_cell_length_c 5.386
_cell_angle_alpha 90.00
_cell_angle_beta 90.00
_cell_angle_gamma 90.00
_space_group_name_H-M_alt 'P 4/m m m'
_space_group_IT_number 123
_space_group_name_Hall '-P 4 2'
loop_
_atom_site_label
_atom_site_type_symbol
_atom_site_fract_x
_atom_site_fract_y
_atom_site_fract_z
Zr1 Zr 0.000 0.500 0.000
Fe1 Fe 0.000 0.000 0.500
Hg1 Hg 0.500 0.500 0.500
Br1 Br 0.500 0.500 0.000
```


No. 2
A geometry-optimized Ho7FeBr12 structure, computed with PBE.

Summary:
**DFT total energy**: -4.5581 eV/atom
**Raw formation energy**: -1.53 eV/atom

Geometry as CIF:
```
data_Ho7FeBr12
_chemical_formula_sum 'Ho21 Fe3 Br36'
_cell_length_a 14.6977
_cell_length_b 14.6977
_cell_length_c 10.3189
_cell_angle_alpha 90.00
_cell_angle_beta 90.00
_cell_angle_gamma 120.00
_space_group_name_H-M_alt 'R -3'
_space_group_IT_number 148
_space_group_name_Hall '-R 3'
loop_
_atom_site_label
_atom_site_type_symbol
_atom_site_fract_x
_atom_site_fract_y
_atom_site_fract_z
Ho1 Ho 0.0000 0.0000 0.0000
Ho2 Ho 0.0417 0.1609 0.3611
Fe1 Fe 0.0000 0.0000 0.5000
Br1 Br 0.0208 0.5848 0.1563
Br2 Br 0.0465 0.1710 0.8379
```


No. 3
A geometry-optimized Ho2FeBr structure, computed with PBE.

Summary:
**DFT total energy**: -4.6760 eV/atom
**Raw formation energy**: 0.15 eV/atom

Geometry as CIF:
```
data_Ho2FeBr
_chemical_formula_sum 'Ho6 Fe3 Br3'
_cell_length_a 3.3508
_cell_length_b 3.3508
_cell_length_c 30.4384
_cell_angle_alpha 90.00
_cell_angle_beta 90.00
_cell_angle_gamma 120.00
_space_group_name_H-M_alt 'R -3 m'
_space_group_IT_number 166
_space_group_name_Hall '-R 3 2"'
loop_
_atom_site_label
_atom_site_type_symbol
_atom_site_fract_x
_atom_site_fract_y
_atom_site_fract_z
Ho1 Ho 0.0000 0.0000 0.0877
Fe1 Fe 0.0000 0.0000 0.0000
Br1 Br 0.0000 0.0000 0.5000
```


No. 4
A geometry-optimized HoFeBr structure, computed with PBE.

Summary:
**DFT total energy**: -5.8429 eV/atom
**Raw formation energy**: -0.94 eV/atom

Geometry as CIF:
```
data_HoFeBr
_chemical_formula_sum 'Ho6 Fe6 Br6'
_cell_length_a 3.8529
_cell_length_b 3.8529
_cell_length_c 34.7564
_cell_angle_alpha 90.00
_cell_angle_beta 90.00
_cell_angle_gamma 120.00
_space_group_name_H-M_alt 'R -3 m'
_space_group_IT_number 166
_space_group_name_Hall '-R 3 2"'
loop_
_atom_site_label
_atom_site_type_symbol
_atom_site_fract_x
_atom_site_fract_y
_atom_site_fract_z
Ho1 Ho 0.0000 0.0000 0.0565
Fe1 Fe 0.0000 0.0000 0.3356
Br1 Br 0.0000 0.0000 0.2217
```


No. 5
A geometry-optimized HoFe2Br8 structure, computed with PBE.

Summary:
**DFT total energy**: -4.1241 eV/atom
**Raw formation energy**: -0.95 eV/atom

Geometry as CIF:
```
data_HoFe2Br8
_chemical_formula_sum 'Ho2 Fe4 Br16'
_cell_length_a 12.628
_cell_length_b 10.341
_cell_length_c 6.548
_cell_angle_alpha 90.00
_cell_angle_beta 94.41
_cell_angle_gamma 90.00
_space_group_name_H-M_alt 'C 1 2/m 1'
_space_group_IT_number 12
_space_group_name_Hall '-C 2y'
loop_
_atom_site_label
_atom_site_type_symbol
_atom_site_fract_x
_atom_site_fract_y
_atom_site_fract_z
Ho1 Ho 0.000 0.000 0.000
Fe1 Fe 0.195 0.000 0.645
Br1 Br 0.098 0.185 0.768
Br2 Br 0.130 0.500 0.230
Br3 Br 0.186 0.000 0.273
```


No. 6
A geometry-optimized Fe2I8Br structure, computed with PBE.

Summary:
**DFT total energy**: -2.8944 eV/atom
**Raw formation energy**: -0.08 eV/atom

Geometry as CIF:
```
data_Fe2I8Br
_chemical_formula_sum 'Fe4 I16 Br2'
_cell_length_a 20.616
_cell_length_b 8.065
_cell_length_c 7.419
_cell_angle_alpha 90.00
_cell_angle_beta 90.98
_cell_angle_gamma 90.00
_space_group_name_H-M_alt 'C 1 2/m 1'
_space_group_IT_number 12
_space_group_name_Hall '-C 2y'
loop_
_atom_site_label
_atom_site_type_symbol
_atom_site_fract_x
_atom_site_fract_y
_atom_site_fract_z
Fe1 Fe 0.119 0.000 0.022
I1 I 0.051 0.500 0.623
I2 I 0.152 0.000 0.346
I3 I 0.162 0.254 0.864
Br1 Br 0.000 0.000 0.000
```


No. 7
A geometry-optimized FeIBr3 structure, computed with PBE.

Summary:
**DFT total energy**: -3.2700 eV/atom
**Raw formation energy**: -0.26 eV/atom

Geometry as CIF:
```
data_FeIBr3
_chemical_formula_sum 'Fe2 I2 Br6'
_cell_length_a 6.129
_cell_length_b 7.570
_cell_length_c 8.972
_cell_angle_alpha 90.00
_cell_angle_beta 103.08
_cell_angle_gamma 90.00
_space_group_name_H-M_alt 'P 1 21/m 1'
_space_group_IT_number 11
_space_group_name_Hall '-P 2yb'
loop_
_atom_site_label
_atom_site_type_symbol
_atom_site_fract_x
_atom_site_fract_y
_atom_site_fract_z
Fe1 Fe 0.249 0.250 0.241
I1 I 0.460 0.750 0.512
Br1 Br 0.046 0.503 0.253
Br2 Br 0.423 0.250 0.039
```


No. 8
A geometry-optimized Fe3I7Br structure, computed with PBE.

Summary:
**DFT total energy**: -3.5594 eV/atom
**Raw formation energy**: -0.11 eV/atom

Geometry as CIF:
```
data_Fe3I7Br
_chemical_formula_sum 'Fe3 I7 Br1'
_cell_length_a 7.8796
_cell_length_b 7.8796
_cell_length_c 7.3122
_cell_angle_alpha 90.00
_cell_angle_beta 90.00
_cell_angle_gamma 120.00
_space_group_name_H-M_alt 'P 3 m 1'
_space_group_IT_number 156
_space_group_name_Hall 'P 3 -2"'
loop_
_atom_site_label
_atom_site_type_symbol
_atom_site_fract_x
_atom_site_fract_y
_atom_site_fract_z
Fe1 Fe 0.0065 0.5033 0.0000
I1 I 0.1699 0.3398 0.2219
I2 I 0.3396 0.1698 0.7833
I3 I 0.6667 0.3333 0.2283
Br1 Br 0.3333 0.6667 0.7975
```


No. 9
A geometry-optimized FeIBr3 structure, computed with PBE.

Summary:
**DFT total energy**: -2.7589 eV/atom
**Raw formation energy**: 0.25 eV/atom

Geometry as CIF:
```
data_FeIBr3
_chemical_formula_sum 'Fe1 I1 Br3'
_cell_length_a 4.973
_cell_length_b 4.973
_cell_length_c 4.973
_cell_angle_alpha 90.00
_cell_angle_beta 90.00
_cell_angle_gamma 90.00
_space_group_name_H-M_alt 'P m -3 m'
_space_group_IT_number 221
_space_group_name_Hall '-P 4 2 3'
loop_
_atom_site_label
_atom_site_type_symbol
_atom_site_fract_x
_atom_site_fract_y
_atom_site_fract_z
Fe1 Fe 0.000 0.000 0.000
I1 I 0.500 0.500 0.500
Br1 Br 0.000 0.000 0.500
```


No. 10
A geometry-optimized Fe3IBr7 structure, computed with PBE.

Summary:
**DFT total energy**: -3.8858 eV/atom
**Raw formation energy**: -0.37 eV/atom

Geometry as CIF:
```
data_Fe3IBr7
_chemical_formula_sum 'Fe3 I1 Br7'
_cell_length_a 7.5361
_cell_length_b 7.5361
_cell_length_c 6.9414
_cell_angle_alpha 90.00
_cell_angle_beta 90.00
_cell_angle_gamma 120.00
_space_group_name_H-M_alt 'P 3 m 1'
_space_group_IT_number 156
_space_group_name_Hall 'P 3 -2"'
loop_
_atom_site_label
_atom_site_type_symbol
_atom_site_fract_x
_atom_site_fract_y
_atom_site_fract_z
Fe1 Fe 0.0039 0.5020 0.0000
I1 I 0.6667 0.3333 0.7413
Br1 Br 0.1740 0.3479 0.7935
Br2 Br 0.3333 0.6667 0.2272
Br3 Br 0.3485 0.1742 0.2033
```


No. 11
A geometry-optimized FeI3Br4 structure, computed with PBE.

Summary:
**DFT total energy**: -2.6670 eV/atom
**Raw formation energy**: -0.19 eV/atom

Geometry as CIF:
```
data_FeI3Br4
_chemical_formula_sum 'Fe2 I6 Br8'
_cell_length_a 10.678
_cell_length_b 11.553
_cell_length_c 6.430
_cell_angle_alpha 90.00
_cell_angle_beta 90.00
_cell_angle_gamma 90.00
_space_group_name_H-M_alt 'I m m 2'
_space_group_IT_number 44
_space_group_name_Hall 'I 2 -2'
loop_
_atom_site_label
_atom_site_type_symbol
_atom_site_fract_x
_atom_site_fract_y
_atom_site_fract_z
Fe1 Fe 0.000 0.000 0.000
I1 I 0.000 0.320 0.442
I2 I 0.000 0.500 0.147
Br1 Br 0.000 0.180 0.812
Br2 Br 0.180 0.000 0.198
```


No. 12
A geometry-optimized FeI2Br structure, computed with PBE.

Summary:
**DFT total energy**: -3.5157 eV/atom
**Raw formation energy**: -0.21 eV/atom

Geometry as CIF:
```
data_FeI2Br
_chemical_formula_sum 'Fe2 I4 Br2'
_cell_length_a 7.815
_cell_length_b 12.574
_cell_length_c 3.743
_cell_angle_alpha 90.00
_cell_angle_beta 118.18
_cell_angle_gamma 90.00
_space_group_name_H-M_alt 'C 1 m 1'
_space_group_IT_number 8
_space_group_name_Hall 'C -2y'
loop_
_atom_site_label
_atom_site_type_symbol
_atom_site_fract_x
_atom_site_fract_y
_atom_site_fract_z
Fe1 Fe 0.000 0.000 0.000
I1 I 0.105 0.148 0.603
Br1 Br 0.166 0.500 0.671
```